{
  "formula": "NdThPS",
  "functional": "PBE",
  "state": "relaxed",
  "lattice": [[4.1015, 0.0000, 0.0000], [0.0000, 4.1015, 0.0000], [0.0000, 0.0000, 5.7987]],
  "species": ["Nd", "Th", "P", "S"],
  "fractional_positions": [[0.0000, 0.0000, 0.0000], [0.5000, 0.5000, 0.5000], [0.5000, 0.5000, 0.0000], [0.0000, 0.0000, 0.5000]],
  "total_energy_ev_per_atom": -7.18,
  "total_magnetization_mub_per_cell": 0.00,
  "formation_energy_uncorrected_ev_per_fu": -7.0
}


{
  "formula": "NdTlP2S7",
  "functional": "PBE",
  "state": "relaxed",
  "lattice": [[9.9015, 0.0000, 0.0000], [0.0000, 12.6163, 0.0000], [-0.0425, 0.0000, 9.1074]],
  "species": ["Nd", "Nd", "Nd", "Nd", "Tl", "Tl", "Tl", "Tl", "P", "P", "P", "P", "P", "P", "P", "P", "S", "S", "S", "S", "S", "S", "S", "S", "S", "S", "S", "S", "S", "S", "S", "S", "S", "S", "S", "S", "S", "S", "S", "S", "S", "S", "S", "S"],
  "fractional_positions": [[0.1392, 0.1423, 0.3916], [0.1392, 0.3577, 0.8916], [0.8608, 0.6423, 0.1084], [0.8608, 0.8577, 0.6084], [0.4004, 0.6846, 0.8743], [0.4004, 0.8154, 0.3743], [0.5996, 0.1846, 0.6257], [0.5996, 0.3154, 0.1257], [0.1860, 0.5349, 0.1970], [0.1860, 0.9651, 0.6970], [0.2715, 0.1039, 0.0214], [0.2715, 0.3961, 0.5214], [0.7285, 0.6039, 0.4786], [0.7285, 0.8961, 0.9786], [0.8140, 0.0349, 0.3030], [0.8140, 0.4651, 0.8030], [0.0185, 0.0581, 0.6780], [0.0185, 0.4419, 0.1780], [0.0879, 0.1687, 0.0707], [0.0879, 0.3313, 0.5707], [0.1509, 0.6896, 0.1475], [0.1509, 0.8104, 0.6475], [0.2501, 0.5489, 0.4204], [0.2501, 0.9511, 0.9204], [0.3336, 0.0255, 0.5672], [0.3336, 0.4745, 0.0672], [0.3626, 0.0580, 0.2096], [0.3626, 0.4420, 0.7096], [0.3677, 0.2089, 0.8894], [0.3677, 0.2911, 0.3894], [0.6323, 0.7089, 0.6106], [0.6323, 0.7911, 0.1106], [0.6374, 0.5580, 0.2904], [0.6374, 0.9420, 0.7904], [0.6664, 0.5255, 0.9328], [0.6664, 0.9745, 0.4328], [0.7499, 0.0489, 0.0796], [0.7499, 0.4511, 0.5796], [0.8491, 0.1896, 0.3525], [0.8491, 0.3104, 0.8525], [0.9121, 0.6687, 0.4293], [0.9121, 0.8313, 0.9293], [0.9815, 0.5581, 0.8220], [0.9815, 0.9419, 0.3220]],
  "total_energy_ev_per_atom": -5.01,
  "total_magnetization_mub_per_cell": 0.00,
  "formation_energy_uncorrected_ev_per_fu": -8.3
}


{
  "formula": "Nd6TlP2S3",
  "functional": "PBE",
  "state": "relaxed",
  "lattice": [[9.1214, -2.0739, 0.0000], [9.1214, 2.0739, 0.0000], [-1.9136, 0.0000, 8.2347]],
  "species": ["Nd", "Nd", "Nd", "Nd", "Nd", "Nd", "Tl", "P", "P", "S", "S", "S"],
  "fractional_positions": [[0.0018, 0.0018, 0.2714], [0.3266, 0.3266, 0.9058], [0.3306, 0.3306, 0.4219], [0.6694, 0.6694, 0.5781], [0.6734, 0.6734, 0.0942], [0.9982, 0.9982, 0.7286], [0.5000, 0.5000, 0.0000], [0.1679, 0.1679, 0.3352], [0.8321, 0.8321, 0.6648], [0.1665, 0.1665, 0.8316], [0.5000, 0.5000, 0.5000], [0.8335, 0.8335, 0.1684]],
  "total_energy_ev_per_atom": -6.08,
  "total_magnetization_mub_per_cell": 0.00,
  "formation_energy_uncorrected_ev_per_fu": -18.8
}


{
  "formula": "NdZnPS",
  "functional": "PBE",
  "state": "relaxed",
  "lattice": [[2.0744, 1.1977, 13.2694], [-2.0744, 1.1977, 13.2694], [0.0000, -2.3953, 13.2694]],
  "species": ["Nd", "Nd", "Zn", "Zn", "P", "P", "S", "S"],
  "fractional_positions": [[0.0902, 0.0902, 0.0902], [0.9098, 0.9098, 0.9098], [0.3102, 0.3102, 0.3102], [0.6898, 0.6898, 0.6898], [0.3733, 0.3733, 0.3733], [0.6267, 0.6267, 0.6267], [0.2113, 0.2113, 0.2113], [0.7887, 0.7887, 0.7887]],
  "total_energy_ev_per_atom": -5.02,
  "total_magnetization_mub_per_cell": 0.00,
  "formation_energy_uncorrected_ev_per_fu": -4.5
}


{
  "formula": "Nd5SbP4",
  "functional": "PBE",
  "state": "relaxed",
  "lattice": [[7.0374, -2.1111, 0.0000], [7.0374, 2.1111, 0.0000], [-5.1595, 0.0000, 9.0670]],
  "species": ["Nd", "Nd", "Nd", "Nd", "Nd", "Sb", "P", "P", "P", "P"],
  "fractional_positions": [[0.0000, 0.0000, 0.0000], [0.2055, 0.2055, 0.8126], [0.3920, 0.3920, 0.6096], [0.6080, 0.6080, 0.3904], [0.7945, 0.7945, 0.1874], [0.0000, 0.0000, 0.5000], [0.2018, 0.2018, 0.2954], [0.4020, 0.4020, 0.1004], [0.5980, 0.5980, 0.8996], [0.7982, 0.7982, 0.7046]],
  "total_energy_ev_per_atom": -6.40,
  "total_magnetization_mub_per_cell": 0.00,
  "formation_energy_uncorrected_ev_per_fu": -14.4
}


{
  "formula": "Nd5Sb4P",
  "functional": "PBE",
  "state": "relaxed",
  "lattice": [[-4.9768, 4.9768, 3.1580], [4.9768, -4.9768, 3.1580], [4.9768, 4.9768, -3.1580]],
  "species": ["Nd", "Nd", "Nd", "Nd", "Nd", "Sb", "Sb", "Sb", "Sb", "P"],
  "fractional_positions": [[0.0000, 0.0000, 0.0000], [0.2150, 0.4032, 0.6182], [0.4032, 0.7850, 0.1881], [0.5968, 0.2150, 0.8119], [0.7850, 0.5968, 0.3818], [0.0951, 0.6978, 0.7929], [0.3022, 0.0951, 0.3972], [0.6978, 0.9049, 0.6028], [0.9049, 0.3022, 0.2071], [0.5000, 0.5000, 0.0000]],
  "total_energy_ev_per_atom": -5.80,
  "total_magnetization_mub_per_cell": 0.00,
  "de_polymorph_ev_per_atom": 0.0000,
  "formation_energy_uncorrected_ev_per_fu": -12.3
}


{
  "formula": "Nd4Sb3P",
  "functional": "PBE",
  "state": "relaxed",
  "lattice": [[4.4514, -6.2764, 0.0000], [4.4514, 6.2764, 0.0000], [0.0000, 0.0000, 4.4260]],
  "species": ["Nd", "Nd", "Nd", "Nd", "Sb", "Sb", "Sb", "P"],
  "fractional_positions": [[0.2346, 0.2346, 0.5000], [0.2417, 0.7583, 0.0000], [0.7583, 0.2417, 0.0000], [0.7654, 0.7654, 0.5000], [0.0000, 0.5000, 0.5000], [0.5000, 0.0000, 0.5000], [0.5000, 0.5000, 0.0000], [0.0000, 0.0000, 0.0000]],
  "total_energy_ev_per_atom": -5.84,
  "total_magnetization_mub_per_cell": 0.00,
  "formation_energy_uncorrected_ev_per_fu": -9.9
}


{
  "formula": "Nd5Sb4P",
  "functional": "PBE",
  "state": "relaxed",
  "lattice": [[-2.2322, 2.2322, 15.7347], [2.2322, -2.2322, 15.7347], [2.2322, 2.2322, -15.7347]],
  "species": ["Nd", "Nd", "Nd", "Nd", "Nd", "Sb", "Sb", "Sb", "Sb", "P"],
  "fractional_positions": [[0.0000, 0.0000, 0.0000], [0.2002, 0.2002, 0.0000], [0.4067, 0.4067, 0.0000], [0.5933, 0.5933, 0.0000], [0.7998, 0.7998, 0.0000], [0.0992, 0.0992, 0.0000], [0.3024, 0.3024, 0.0000], [0.6976, 0.6976, 0.0000], [0.9008, 0.9008, 0.0000], [0.5000, 0.5000, 0.0000]],
  "total_energy_ev_per_atom": -5.80,
  "total_magnetization_mub_per_cell": 0.00,
  "de_polymorph_ev_per_atom": 0.0049,
  "formation_energy_uncorrected_ev_per_fu": -12.2
}


{
  "formula": "Nd5Sb2P",
  "functional": "PBE",
  "state": "relaxed",
  "lattice": [[3.0661, -6.6935, 0.0000], [3.0661, 6.6935, 0.0000], [0.0000, 0.0000, 13.8792]],
  "species": ["Nd", "Nd", "Nd", "Nd", "Nd", "Nd", "Nd", "Nd", "Nd", "Nd", "Sb", "Sb", "Sb", "Sb", "P", "P"],
  "fractional_positions": [[0.0521, 0.9479, 0.6244], [0.0521, 0.9479, 0.8756], [0.3026, 0.6974, 0.2500], [0.3523, 0.6477, 0.5896], [0.3523, 0.6477, 0.9104], [0.6477, 0.3523, 0.0896], [0.6477, 0.3523, 0.4104], [0.6974, 0.3026, 0.7500], [0.9479, 0.0521, 0.1244], [0.9479, 0.0521, 0.3756], [0.1745, 0.8255, 0.0645], [0.1745, 0.8255, 0.4355], [0.8255, 0.1745, 0.5645], [0.8255, 0.1745, 0.9355], [0.2198, 0.7802, 0.7500], [0.7802, 0.2198, 0.2500]],
  "total_energy_ev_per_atom": -5.40,
  "total_magnetization_mub_per_cell": 0.01,
  "formation_energy_uncorrected_ev_per_fu": -5.7
}


{
  "formula": "Nd6SbP2Se3",
  "functional": "PBE",
  "state": "relaxed",
  "lattice": [[9.3191, -2.1229, 0.0000], [9.3191, 2.1229, 0.0000], [-2.0043, 0.0000, 8.3468]],
  "species": ["Nd", "Nd", "Nd", "Nd", "Nd", "Nd", "Sb", "P", "P", "Se", "Se", "Se"],
  "fractional_positions": [[0.0079, 0.0079, 0.2627], [0.3276, 0.3276, 0.4265], [0.3281, 0.3281, 0.8953], [0.6719, 0.6719, 0.1047], [0.6724, 0.6724, 0.5735], [0.9921, 0.9921, 0.7373], [0.5000, 0.5000, 0.0000], [0.1680, 0.1680, 0.3359], [0.8320, 0.8320, 0.6641], [0.1634, 0.1634, 0.8332], [0.5000, 0.5000, 0.5000], [0.8366, 0.8366, 0.1668]],
  "total_energy_ev_per_atom": -6.18,
  "total_magnetization_mub_per_cell": 0.00,
  "formation_energy_uncorrected_ev_per_fu": -20.1
}


{
  "formula": "Nd6Sb2PSe3",
  "functional": "PBE",
  "state": "relaxed",
  "lattice": [[9.4460, -2.1569, 0.0000], [9.4460, 2.1569, 0.0000], [-1.9536, 0.0000, 8.4620]],
  "species": ["Nd", "Nd", "Nd", "Nd", "Nd", "Nd", "Sb", "Sb", "P", "Se", "Se", "Se"],
  "fractional_positions": [[0.0024, 0.0024, 0.2704], [0.3382, 0.3382, 0.9099], [0.3425, 0.3425, 0.4280], [0.6575, 0.6575, 0.5720], [0.6618, 0.6618, 0.0901], [0.9976, 0.9976, 0.7296], [0.1672, 0.1672, 0.8347], [0.8328, 0.8328, 0.1653], [0.5000, 0.5000, 0.5000], [0.1690, 0.1690, 0.3359], [0.5000, 0.5000, 0.0000], [0.8310, 0.8310, 0.6641]],
  "total_energy_ev_per_atom": -5.98,
  "total_magnetization_mub_per_cell": 0.00,
  "formation_energy_uncorrected_ev_per_fu": -19.1
}


{
  "formula": "Nd4SbPSe2",
  "functional": "PBE",
  "state": "relaxed",
  "lattice": [[7.4194, 0.0000, 0.0000], [0.0000, 4.2851, 0.0000], [-2.4903, 0.0000, 7.0750]],
  "species": ["Nd", "Nd", "Nd", "Nd", "Sb", "P", "Se", "Se"],
  "fractional_positions": [[0.2388, 0.0000, 0.2317], [0.2492, 0.5000, 0.7662], [0.7508, 0.5000, 0.2338], [0.7612, 0.0000, 0.7683], [0.0000, 0.0000, 0.5000], [0.0000, 0.5000, 0.0000], [0.5000, 0.0000, 0.0000], [0.5000, 0.5000, 0.5000]],
  "total_energy_ev_per_atom": -6.07,
  "total_magnetization_mub_per_cell": 0.00,
  "formation_energy_uncorrected_ev_per_fu": -13.0
}